(1)
ZrGaPCl2: relaxed, GGA-PBE.

It has space group P4/mmm (No. 123), with a = 5.094 Å, b = 5.094 Å, c = 5.112 Å, α = 90.00°, β = 90.00° and γ = 90.00°. The distinct sites, in fractional coordinates, are Zr at (0.000, 0.000, 0.000), Ga at (0.500, 0.500, 0.500), P at (0.000, 0.000, 0.500) and Cl at (0.000, 0.500, 0.000).

For the uncorrected formation energy, the calculation gives -3.40 eV/f.u. As for the calculated density: 3.3 g/cm3. The energy above the lowest structure with this stoichiometry is 0.0 kJ per mole of atoms. As for the crystal system: tetragonal.

(2)
ZrGaP2Cl: relaxed, GGA-PBE.

It has space group P4/mmm (No. 123), with a = 4.686 Å, b = 4.686 Å, c = 4.652 Å, α = 90.00°, β = 90.00° and γ = 90.00°. The distinct sites, in fractional coordinates, are Zr at (0.000, 0.000, 0.000), Ga at (0.500, 0.500, 0.500), P at (0.000, 0.500, 0.500) and Cl at (0.500, 0.500, 0.000).

For the uncorrected formation energy, the calculation gives 1.35 eV/f.u. As for the calculated density: 4.2 g/cm3. The energy above the lowest structure with this stoichiometry is 43.1 kJ per mole of atoms. As for the crystal system: tetragonal.